Record 1
Material: Ac4NiTe2Ir
Method: DFT, PBE
State: relaxed

Computed properties:
E_form (uncorrected)   -0.9715 eV/atom

The structure in CIF format:
```
data_Ac4NiTe2Ir
_symmetry_space_group_name_H-M 'P 1 2/m 1'
_symmetry_Int_Tables_number 10
_cell_length_a 7.615
_cell_length_b 4.414
_cell_length_c 8.393
_cell_angle_alpha 90.00
_cell_angle_beta 107.71
_cell_angle_gamma 90.00
loop_
_symmetry_equiv_pos_as_xyz
'x,y,z'
'-x,-y,-z'
'-x,y,-z'
'x,-y,z'
loop_
_atom_site_label
_atom_site_fract_x
_atom_site_fract_y
_atom_site_fract_z
Ac1 0.234 0.000 0.209
Ac2 0.261 0.500 0.790
Ni1 0.500 0.000 0.000
Te1 0.000 0.000 0.500
Te2 0.500 0.500 0.500
Ir1 0.000 0.500 0.000
```



Record 2
Material: RbBa4Pu3O12
Method: DFT, PBE
State: relaxed

Computed properties:
E_form (uncorrected)   -2.7133 eV/atom

The structure in CIF format:
```
data_RbBa4Pu3O12
_symmetry_space_group_name_H-M 'I m -3 m'
_symmetry_Int_Tables_number 229
_symmetry_space_group_name_Hall '-I 4 2 3'
_cell_length_a 8.954
_cell_length_b 8.954
_cell_length_c 8.954
_cell_angle_alpha 90.00
_cell_angle_beta 90.00
_cell_angle_gamma 90.00
loop_
_atom_site_label
_atom_site_fract_x
_atom_site_fract_y
_atom_site_fract_z
Rb1 0.000 0.000 0.000
Ba1 0.250 0.250 0.250
Pu1 0.000 0.000 0.500
O1 0.000 0.000 0.281
O2 0.000 0.250 0.500
```



Record 3
Material: Pm3AlAs
Method: DFT, PBE
State: relaxed

Computed properties:
VASP energy   -4.8939 eV/atom

The structure in CIF format:
```
data_Pm3AlAs
_symmetry_space_group_name_H-M 'P m -3 m'
_symmetry_Int_Tables_number 221
_symmetry_space_group_name_Hall '-P 4 2 3'
_cell_length_a 5.513
_cell_length_b 5.513
_cell_length_c 5.513
_cell_angle_alpha 90.00
_cell_angle_beta 90.00
_cell_angle_gamma 90.00
loop_
_atom_site_label
_atom_site_fract_x
_atom_site_fract_y
_atom_site_fract_z
Pm1 0.000 0.000 0.500
Al1 0.500 0.500 0.500
As1 0.000 0.000 0.000
```



Record 4
Material: LaBeAsRu2
Method: DFT, PBE
State: relaxed

Computed properties:
VASP energy   -4.5560 eV/atom

The structure in CIF format:
```
data_LaBeAsRu2
_symmetry_space_group_name_H-M 'P 4/m m m'
_symmetry_Int_Tables_number 123
_symmetry_space_group_name_Hall '-P 4 2'
_cell_length_a 4.802
_cell_length_b 4.802
_cell_length_c 4.828
_cell_angle_alpha 90.00
_cell_angle_beta 90.00
_cell_angle_gamma 90.00
loop_
_atom_site_label
_atom_site_fract_x
_atom_site_fract_y
_atom_site_fract_z
La1 0.000 0.000 0.000
Be1 0.000 0.000 0.500
As1 0.500 0.500 0.500
Ru1 0.000 0.500 0.000
```



Record 5
Material: HfInHg2
Method: DFT, PBE
State: relaxed

Computed properties:
VASP energy   -3.3462 eV/atom

The structure in CIF format:
```
data_HfInHg2
_symmetry_space_group_name_H-M 'P 4/m m m'
_symmetry_Int_Tables_number 123
_symmetry_space_group_name_Hall '-P 4 2'
_cell_length_a 4.411
_cell_length_b 4.411
_cell_length_c 4.454
_cell_angle_alpha 90.00
_cell_angle_beta 90.00
_cell_angle_gamma 90.00
loop_
_atom_site_label
_atom_site_fract_x
_atom_site_fract_y
_atom_site_fract_z
Hf1 0.000 0.000 0.000
In1 0.500 0.500 0.000
Hg1 0.000 0.500 0.500
```



Record 6
Material: LaMn3
Method: DFT, PBE
State: relaxed

Computed properties:
VASP energy   -7.8055 eV/atom

The structure in CIF format:
```
data_LaMn3
_symmetry_space_group_name_H-M 'P 4/m m m'
_symmetry_Int_Tables_number 123
_symmetry_space_group_name_Hall '-P 4 2'
_cell_length_a 3.114
_cell_length_b 3.114
_cell_length_c 7.363
_cell_angle_alpha 90.00
_cell_angle_beta 90.00
_cell_angle_gamma 90.00
loop_
_atom_site_label
_atom_site_fract_x
_atom_site_fract_y
_atom_site_fract_z
La1 0.000 0.000 0.000
Mn1 0.000 0.000 0.500
Mn2 0.500 0.500 0.320
```



Record 7
Material: HoThGaAg
Method: DFT, PBE
State: relaxed

Computed properties:
VASP energy   -4.7793 eV/atom

The structure in CIF format:
```
data_HoThGaAg
_symmetry_space_group_name_H-M 'F -4 3 m'
_symmetry_Int_Tables_number 216
_symmetry_space_group_name_Hall 'F -4 2 3'
_cell_length_a 7.349
_cell_length_b 7.349
_cell_length_c 7.349
_cell_angle_alpha 90.00
_cell_angle_beta 90.00
_cell_angle_gamma 90.00
loop_
_atom_site_label
_atom_site_fract_x
_atom_site_fract_y
_atom_site_fract_z
Ho1 0.000 0.000 0.000
Th1 0.000 0.000 0.500
Ga1 0.250 0.250 0.250
Ag1 0.250 0.250 0.750
```



Record 8
Material: La3Nd2Ga3
Method: DFT, PBE
State: relaxed

Computed properties:
VASP energy   -4.5952 eV/atom

The structure in CIF format:
```
data_La3Nd2Ga3
_symmetry_space_group_name_H-M 'P 63/m c m'
_symmetry_Int_Tables_number 193
_symmetry_space_group_name_Hall '-P 6c 2'
_cell_length_a 8.9552
_cell_length_b 8.9552
_cell_length_c 6.9348
_cell_angle_alpha 90.00
_cell_angle_beta 90.00
_cell_angle_gamma 120.00
loop_
_atom_site_label
_atom_site_fract_x
_atom_site_fract_y
_atom_site_fract_z
La1 0.0000 0.2431 0.2500
Nd1 0.3333 0.6667 0.0000
Ga1 0.0000 0.4037 0.7500
```